Run one
# Li2MnP2O8 (PBE with a Hubbard U, relaxed)
data_Li2MnP2O8
_chemical_formula_sum 'Li4 Mn2 P4 O16'
_cell_length_a 5.018
_cell_length_b 5.018
_cell_length_c 15.508
_cell_angle_alpha 97.64
_cell_angle_beta 97.64
_cell_angle_gamma 56.86
_space_group_name_H-M_alt 'P 1'
_space_group_IT_number 1
_space_group_name_Hall 'P 1'
loop_
_atom_site_label
_atom_site_type_symbol
_atom_site_fract_x
_atom_site_fract_y
_atom_site_fract_z
Li1 Li 0.181 0.819 0.500
Li2 Li 0.393 0.956 0.882
Li3 Li 0.819 0.181 0.000
Li4 Li 0.956 0.393 0.382
Mn1 Mn 0.415 0.843 0.692
Mn2 Mn 0.843 0.415 0.192
P1 P 0.082 0.472 0.591
P2 P 0.215 0.752 0.294
P3 P 0.472 0.082 0.091
P4 P 0.752 0.215 0.794
O1 O 0.064 0.984 0.221
O2 O 0.100 0.255 0.090
O3 O 0.124 0.494 0.277
O4 O 0.132 0.924 0.384
O5 O 0.255 0.100 0.590
O6 O 0.351 0.548 0.615
O7 O 0.494 0.124 0.777
O8 O 0.548 0.351 0.115
O9 O 0.557 0.589 0.792
O10 O 0.573 0.952 0.998
O11 O 0.589 0.557 0.292
O12 O 0.634 0.839 0.160
O13 O 0.839 0.634 0.660
O14 O 0.924 0.132 0.884
O15 O 0.952 0.573 0.498
O16 O 0.984 0.064 0.721
# Mass density ... 2.659 g/cm³
# Symmetry ... No. 9

Run two
# Li2MnP2O8 (PBE with a Hubbard U, relaxed)
data_Li2MnP2O8
_chemical_formula_sum 'Li4 Mn2 P4 O16'
_cell_length_a 5.035
_cell_length_b 7.851
_cell_length_c 8.822
_cell_angle_alpha 90.00
_cell_angle_beta 120.88
_cell_angle_gamma 90.00
_space_group_name_H-M_alt 'P 1'
_space_group_IT_number 1
_space_group_name_Hall 'P 1'
loop_
_atom_site_label
_atom_site_type_symbol
_atom_site_fract_x
_atom_site_fract_y
_atom_site_fract_z
Li1 Li 0.009 0.133 0.409
Li2 Li 0.009 0.367 0.909
Li3 Li 0.991 0.633 0.091
Li4 Li 0.991 0.867 0.591
Mn1 Mn 0.000 0.000 0.000
Mn2 Mn 0.000 0.500 0.500
P1 P 0.341 0.189 0.804
P2 P 0.341 0.311 0.304
P3 P 0.659 0.689 0.696
P4 P 0.659 0.811 0.196
O1 O 0.206 0.126 0.247
O2 O 0.206 0.374 0.747
O3 O 0.212 0.067 0.652
O4 O 0.212 0.433 0.152
O5 O 0.265 0.141 0.950
O6 O 0.265 0.359 0.450
O7 O 0.296 0.694 0.599
O8 O 0.296 0.806 0.099
O9 O 0.704 0.194 0.901
O10 O 0.704 0.306 0.401
O11 O 0.735 0.641 0.550
O12 O 0.735 0.859 0.050
O13 O 0.788 0.567 0.848
O14 O 0.788 0.933 0.348
O15 O 0.794 0.626 0.253
O16 O 0.794 0.874 0.753
# Mass density ... 2.871 g/cm³
# DOS(E_F) ... 3.18 states/eV per cell
# Symmetry ... No. 14

Relative energies, meV/atom: run one 0; run two 7.

Run one
# Li2MnP2O8 (PBE with a Hubbard U, relaxed)
data_Li2MnP2O8
_chemical_formula_sum 'Li2 Mn1 P2 O8'
_cell_length_a 4.795
_cell_length_b 4.925
_cell_length_c 7.206
_cell_angle_alpha 88.79
_cell_angle_beta 77.11
_cell_angle_gamma 64.46
_space_group_name_H-M_alt 'P 1'
_space_group_IT_number 1
_space_group_name_Hall 'P 1'
loop_
_atom_site_label
_atom_site_type_symbol
_atom_site_fract_x
_atom_site_fract_y
_atom_site_fract_z
Li1 Li 0.219 0.285 0.355
Li2 Li 0.781 0.715 0.645
Mn1 Mn 0.000 0.000 0.000
P1 P 0.387 0.360 0.773
P2 P 0.613 0.640 0.227
O1 O 0.208 0.263 0.958
O2 O 0.228 0.382 0.611
O3 O 0.267 0.882 0.258
O4 O 0.367 0.674 0.832
O5 O 0.633 0.326 0.168
O6 O 0.733 0.118 0.742
O7 O 0.772 0.618 0.389
O8 O 0.792 0.737 0.042
# Mass density ... 2.881 g/cm³
# DOS(E_F) ... 1.38 states/eV per cell
# Symmetry ... No. 2

Run two
# Li2MnP2O8 (PBE with a Hubbard U, relaxed)
data_Li2MnP2O8
_chemical_formula_sum 'Li4 Mn2 P4 O16'
_cell_length_a 4.748
_cell_length_b 5.784
_cell_length_c 10.084
_cell_angle_alpha 90.08
_cell_angle_beta 90.90
_cell_angle_gamma 91.42
_space_group_name_H-M_alt 'P 1'
_space_group_IT_number 1
_space_group_name_Hall 'P 1'
loop_
_atom_site_label
_atom_site_type_symbol
_atom_site_fract_x
_atom_site_fract_y
_atom_site_fract_z
Li1 Li 0.000 0.000 0.000
Li2 Li 0.029 0.250 0.732
Li3 Li 0.500 0.500 0.500
Li4 Li 0.971 0.750 0.268
Mn1 Mn 0.489 0.249 0.218
Mn2 Mn 0.511 0.751 0.782
P1 P 0.083 0.751 0.604
P2 P 0.435 0.746 0.089
P3 P 0.565 0.254 0.911
P4 P 0.917 0.249 0.396
O1 O 0.148 0.744 0.459
O2 O 0.238 0.951 0.685
O3 O 0.240 0.259 0.374
O4 O 0.248 0.546 0.676
O5 O 0.250 0.239 0.908
O6 O 0.288 0.960 0.158
O7 O 0.301 0.532 0.162
O8 O 0.303 0.749 0.943
O9 O 0.697 0.251 0.057
O10 O 0.699 0.468 0.838
O11 O 0.712 0.040 0.842
O12 O 0.750 0.761 0.092
O13 O 0.752 0.454 0.324
O14 O 0.760 0.741 0.626
O15 O 0.762 0.049 0.315
O16 O 0.852 0.256 0.541
# Mass density ... 3.105 g/cm³
# Symmetry ... No. 2

Relative energies, meV/atom: run one 19; run two 0.

Run one
# LiMnPO2 (PBE with a Hubbard U, relaxed)
data_LiMnPO2
_chemical_formula_sum 'Li1 Mn1 P1 O2'
_cell_length_a 3.720
_cell_length_b 3.720
_cell_length_c 4.478
_cell_angle_alpha 90.00
_cell_angle_beta 90.00
_cell_angle_gamma 90.00
_space_group_name_H-M_alt 'P 1'
_space_group_IT_number 1
_space_group_name_Hall 'P 1'
loop_
_atom_site_label
_atom_site_type_symbol
_atom_site_fract_x
_atom_site_fract_y
_atom_site_fract_z
Li1 Li 0.000 0.000 0.000
Mn1 Mn 0.500 0.500 0.500
P1 P 0.000 0.000 0.500
O1 O 0.000 0.500 0.000
O2 O 0.500 0.000 0.000
# Mass density ... 3.347 g/cm³
# DOS(E_F) ... 2.12 states/eV per cell
# Symmetry ... No. 123

Run two
# LiMnPO2 (PBE with a Hubbard U, relaxed)
data_LiMnPO2
_chemical_formula_sum 'Li1 Mn1 P1 O2'
_cell_length_a 3.738
_cell_length_b 3.738
_cell_length_c 4.999
_cell_angle_alpha 90.00
_cell_angle_beta 90.00
_cell_angle_gamma 90.00
_space_group_name_H-M_alt 'P 1'
_space_group_IT_number 1
_space_group_name_Hall 'P 1'
loop_
_atom_site_label
_atom_site_type_symbol
_atom_site_fract_x
_atom_site_fract_y
_atom_site_fract_z
Li1 Li 0.000 0.000 0.000
Mn1 Mn 0.500 0.500 0.500
P1 P 0.500 0.500 0.000
O1 O 0.000 0.500 0.500
O2 O 0.500 0.000 0.500
# Mass density ... 2.969 g/cm³
# DOS(E_F) ... 2.89 states/eV per cell
# Symmetry ... No. 123

Relative energies, meV/atom: run one 481; run two 0.

Run one
# Li3MnP2O8 (PBE with a Hubbard U, relaxed)
data_Li3MnP2O8
_chemical_formula_sum 'Li12 Mn4 P8 O32'
_cell_length_a 8.050
_cell_length_b 8.441
_cell_length_c 10.472
_cell_angle_alpha 90.46
_cell_angle_beta 90.08
_cell_angle_gamma 105.29
_space_group_name_H-M_alt 'P 1'
_space_group_IT_number 1
_space_group_name_Hall 'P 1'
loop_
_atom_site_label
_atom_site_type_symbol
_atom_site_fract_x
_atom_site_fract_y
_atom_site_fract_z
Li1 Li 0.000 0.000 0.000
Li2 Li 0.001 0.483 0.804
Li3 Li 0.047 0.494 0.332
Li4 Li 0.172 0.183 0.296
Li5 Li 0.537 0.962 0.814
Li6 Li 0.538 0.459 0.978
Li7 Li 0.696 0.156 0.496
Li8 Li 0.698 0.658 0.293
Li9 Li 0.838 0.040 0.718
Li10 Li 0.838 0.542 0.083
Li11 Li 0.867 0.597 0.589
Li12 Li 0.988 0.947 0.477
Mn1 Mn 0.241 0.694 0.993
Mn2 Mn 0.244 0.187 0.804
Mn3 Mn 0.458 0.463 0.490
Mn4 Mn 0.472 0.957 0.292
P1 P 0.065 0.310 0.560
P2 P 0.083 0.814 0.232
P3 P 0.133 0.871 0.734
P4 P 0.150 0.382 0.062
P5 P 0.561 0.775 0.562
P6 P 0.564 0.275 0.232
P7 P 0.633 0.324 0.729
P8 P 0.640 0.826 0.051
O1 O 0.038 0.490 0.998
O2 O 0.039 0.957 0.301
O3 O 0.040 0.992 0.806
O4 O 0.045 0.815 0.608
O5 O 0.097 0.343 0.199
O6 O 0.110 0.843 0.085
O7 O 0.121 0.337 0.703
O8 O 0.142 0.724 0.817
O9 O 0.151 0.230 0.981
O10 O 0.229 0.306 0.475
O11 O 0.257 0.785 0.285
O12 O 0.317 0.998 0.727
O13 O 0.331 0.511 0.050
O14 O 0.384 0.142 0.221
O15 O 0.385 0.640 0.574
O16 O 0.464 0.837 0.979
O17 O 0.470 0.336 0.814
O18 O 0.547 0.421 0.318
O19 O 0.549 0.916 0.472
O20 O 0.574 0.308 0.586
O21 O 0.601 0.818 0.199
O22 O 0.643 0.341 0.107
O23 O 0.644 0.842 0.687
O24 O 0.662 0.163 0.305
O25 O 0.666 0.661 0.490
O26 O 0.688 0.172 0.767
O27 O 0.690 0.669 0.016
O28 O 0.767 0.983 0.010
O29 O 0.774 0.483 0.750
O30 O 0.935 0.138 0.545
O31 O 0.941 0.651 0.253
O32 O 0.987 0.444 0.509
# Mass density ... 2.571 g/cm³
# Symmetry ... No. 1

Run two
# Li3MnP2O8 (PBE with a Hubbard U, relaxed)
data_Li3MnP2O8
_chemical_formula_sum 'Li3 Mn1 P2 O8'
_cell_length_a 5.015
_cell_length_b 5.015
_cell_length_c 6.204
_cell_angle_alpha 90.92
_cell_angle_beta 90.92
_cell_angle_gamma 64.58
_space_group_name_H-M_alt 'P 1'
_space_group_IT_number 1
_space_group_name_Hall 'P 1'
loop_
_atom_site_label
_atom_site_type_symbol
_atom_site_fract_x
_atom_site_fract_y
_atom_site_fract_z
Li1 Li 0.000 0.000 0.000
Li2 Li 0.331 0.331 0.776
Li3 Li 0.669 0.669 0.224
Mn1 Mn 0.000 0.000 0.500
P1 P 0.353 0.353 0.271
P2 P 0.647 0.647 0.729
O1 O 0.235 0.703 0.270
O2 O 0.252 0.252 0.067
O3 O 0.254 0.254 0.475
O4 O 0.297 0.765 0.730
O5 O 0.703 0.235 0.270
O6 O 0.746 0.746 0.525
O7 O 0.748 0.748 0.933
O8 O 0.765 0.297 0.730
# Mass density ... 3.131 g/cm³
# Symmetry ... No. 12

Run three
# Li3MnP2O8 (PBE with a Hubbard U, relaxed)
data_Li3MnP2O8
_chemical_formula_sum 'Li6 Mn2 P4 O16'
_cell_length_a 4.740
_cell_length_b 6.044
_cell_length_c 10.119
_cell_angle_alpha 90.00
_cell_angle_beta 92.29
_cell_angle_gamma 90.00
_space_group_name_H-M_alt 'P 1'
_space_group_IT_number 1
_space_group_name_Hall 'P 1'
loop_
_atom_site_label
_atom_site_type_symbol
_atom_site_fract_x
_atom_site_fract_y
_atom_site_fract_z
Li1 Li 0.000 0.000 0.000
Li2 Li 0.000 0.500 0.000
Li3 Li 0.021 0.250 0.286
Li4 Li 0.500 0.000 0.500
Li5 Li 0.500 0.500 0.500
Li6 Li 0.979 0.750 0.714
Mn1 Mn 0.469 0.250 0.784
Mn2 Mn 0.531 0.750 0.216
P1 P 0.096 0.750 0.395
P2 P 0.432 0.750 0.909
P3 P 0.568 0.250 0.091
P4 P 0.904 0.250 0.605
O1 O 0.196 0.750 0.541
O2 O 0.228 0.546 0.326
O3 O 0.228 0.954 0.326
O4 O 0.237 0.250 0.618
O5 O 0.248 0.250 0.083
O6 O 0.293 0.544 0.840
O7 O 0.293 0.956 0.840
O8 O 0.302 0.750 0.053
O9 O 0.698 0.250 0.947
O10 O 0.707 0.044 0.160
O11 O 0.707 0.456 0.160
O12 O 0.752 0.750 0.917
O13 O 0.763 0.750 0.382
O14 O 0.772 0.046 0.674
O15 O 0.772 0.454 0.674
O16 O 0.804 0.250 0.459
# Mass density ... 3.046 g/cm³
# DOS(E_F) ... 0.18 states/eV per cell
# Symmetry ... No. 11

Relative energies, meV/atom: run one 7; run two 20; run three 0.

Run one
# Li3MnP2O8 (PBE with a Hubbard U, relaxed)
data_Li3MnP2O8
_chemical_formula_sum 'Li9 Mn3 P6 O24'
_cell_length_a 7.456
_cell_length_b 8.212
_cell_length_c 8.609
_cell_angle_alpha 61.80
_cell_angle_beta 79.70
_cell_angle_gamma 89.29
_space_group_name_H-M_alt 'P 1'
_space_group_IT_number 1
_space_group_name_Hall 'P 1'
loop_
_atom_site_label
_atom_site_type_symbol
_atom_site_fract_x
_atom_site_fract_y
_atom_site_fract_z
Li1 Li 0.000 0.000 0.000
Li2 Li 0.080 0.314 0.355
Li3 Li 0.146 0.313 0.682
Li4 Li 0.175 0.990 0.352
Li5 Li 0.208 0.676 0.006
Li6 Li 0.792 0.324 0.994
Li7 Li 0.825 0.010 0.648
Li8 Li 0.854 0.687 0.318
Li9 Li 0.920 0.686 0.645
Mn1 Mn 0.487 0.327 0.353
Mn2 Mn 0.500 0.000 0.000
Mn3 Mn 0.513 0.673 0.647
P1 P 0.227 0.963 0.670
P2 P 0.236 0.325 0.976
P3 P 0.278 0.678 0.345
P4 P 0.722 0.322 0.655
P5 P 0.764 0.675 0.024
P6 P 0.773 0.037 0.330
O1 O 0.052 0.288 0.935
O2 O 0.052 0.879 0.659
O3 O 0.081 0.713 0.405
O4 O 0.201 0.051 0.793
O5 O 0.228 0.416 0.097
O6 O 0.284 0.463 0.413
O7 O 0.304 0.113 0.468
O8 O 0.317 0.131 0.077
O9 O 0.330 0.778 0.133
O10 O 0.359 0.445 0.786
O11 O 0.359 0.806 0.749
O12 O 0.412 0.760 0.410
O13 O 0.588 0.240 0.590
O14 O 0.641 0.194 0.251
O15 O 0.641 0.555 0.214
O16 O 0.670 0.222 0.867
O17 O 0.683 0.869 0.923
O18 O 0.696 0.887 0.532
O19 O 0.716 0.537 0.587
O20 O 0.772 0.584 0.903
O21 O 0.799 0.949 0.207
O22 O 0.919 0.287 0.595
O23 O 0.948 0.121 0.341
O24 O 0.948 0.712 0.065
# Mass density ... 2.906 g/cm³
# Symmetry ... No. 2

Run two
# Li3MnP2O8 (PBE with a Hubbard U, relaxed)
data_Li3MnP2O8
_chemical_formula_sum 'Li6 Mn2 P4 O16'
_cell_length_a 4.824
_cell_length_b 9.053
_cell_length_c 7.898
_cell_angle_alpha 90.00
_cell_angle_beta 123.63
_cell_angle_gamma 90.00
_space_group_name_H-M_alt 'P 1'
_space_group_IT_number 1
_space_group_name_Hall 'P 1'
loop_
_atom_site_label
_atom_site_type_symbol
_atom_site_fract_x
_atom_site_fract_y
_atom_site_fract_z
Li1 Li 0.000 0.000 0.000
Li2 Li 0.000 0.500 0.500
Li3 Li 0.337 0.134 0.833
Li4 Li 0.337 0.366 0.333
Li5 Li 0.663 0.634 0.667
Li6 Li 0.663 0.866 0.167
Mn1 Mn 0.500 0.000 0.500
Mn2 Mn 0.500 0.500 0.000
P1 P 0.171 0.678 0.195
P2 P 0.171 0.822 0.695
P3 P 0.829 0.178 0.305
P4 P 0.829 0.322 0.805
O1 O 0.139 0.654 0.715
O2 O 0.139 0.846 0.215
O3 O 0.166 0.124 0.500
O4 O 0.166 0.376 0.000
O5 O 0.246 0.591 0.382
O6 O 0.246 0.909 0.882
O7 O 0.464 0.651 0.164
O8 O 0.464 0.849 0.664
O9 O 0.536 0.151 0.336
O10 O 0.536 0.349 0.836
O11 O 0.754 0.091 0.118
O12 O 0.754 0.409 0.618
O13 O 0.834 0.624 0.000
O14 O 0.834 0.876 0.500
O15 O 0.861 0.154 0.785
O16 O 0.861 0.346 0.285
# Mass density ... 3.073 g/cm³
# Symmetry ... No. 14

Relative energies, meV/atom: run one 8; run two 0.

Run one
# LiMnP2O (PBE with a Hubbard U, relaxed)
data_LiMnP2O
_chemical_formula_sum 'Li1 Mn1 P2 O1'
_cell_length_a 4.728
_cell_length_b 4.728
_cell_length_c 3.458
_cell_angle_alpha 90.00
_cell_angle_beta 90.00
_cell_angle_gamma 90.00
_space_group_name_H-M_alt 'P 1'
_space_group_IT_number 1
_space_group_name_Hall 'P 1'
loop_
_atom_site_label
_atom_site_type_symbol
_atom_site_fract_x
_atom_site_fract_y
_atom_site_fract_z
Li1 Li 0.000 0.000 0.000
Mn1 Mn 0.500 0.500 0.500
P1 P 0.000 0.500 0.500
P2 P 0.500 0.000 0.500
O1 O 0.500 0.500 0.000
# Mass density ... 3.004 g/cm³
# DOS(E_F) ... 3.64 states/eV per cell
# Symmetry ... No. 123

Run two
# LiMnP2O (PBE with a Hubbard U, relaxed)
data_LiMnP2O
_chemical_formula_sum 'Li1 Mn1 P2 O1'
_cell_length_a 4.449
_cell_length_b 4.449
_cell_length_c 3.272
_cell_angle_alpha 90.00
_cell_angle_beta 90.00
_cell_angle_gamma 90.00
_space_group_name_H-M_alt 'P 1'
_space_group_IT_number 1
_space_group_name_Hall 'P 1'
loop_
_atom_site_label
_atom_site_type_symbol
_atom_site_fract_x
_atom_site_fract_y
_atom_site_fract_z
Li1 Li 0.000 0.000 0.000
Mn1 Mn 0.500 0.500 0.500
P1 P 0.000 0.500 0.000
P2 P 0.500 0.000 0.000
O1 O 0.000 0.000 0.500
# Mass density ... 3.585 g/cm³
# DOS(E_F) ... 3.54 states/eV per cell
# Symmetry ... No. 123

Relative energies, meV/atom: run one 0; run two 723.